No. 1
An optimized crystal structure of AlRe2P. Source: Alexandria, functional PBE-GGA.

Output
Symmetry   F-43m (216)

abc: 4.355 4.355 4.355
angles: 60.00 60.00 60.00
Atoms (fractional coordinates):
Al: 0.000 0.000 0.000
Re: 0.500 0.500 0.500
Re: 0.750 0.750 0.750
P: 0.250 0.250 0.250



No. 2
An optimized crystal structure of AlRe2P. Source: Alexandria, functional PBE-GGA.

Output
Symmetry   Fm-3m (225)

abc: 4.251 4.251 4.251
angles: 60.00 60.00 60.00
Atoms (fractional coordinates):
Al: 0.000 0.000 0.000
Re: 0.250 0.250 0.250
Re: 0.750 0.750 0.750
P: 0.500 0.500 0.500



No. 3
An optimized crystal structure of Al2ReP. Source: Alexandria, functional PBE-GGA.

Output
Symmetry   F-43m (216)

abc: 4.325 4.325 4.325
angles: 60.00 60.00 60.00
Atoms (fractional coordinates):
Al: 0.000 0.000 0.000
Al: 0.250 0.250 0.250
Re: 0.500 0.500 0.500
P: 0.750 0.750 0.750



No. 4
An optimized crystal structure of AlRe2P. Source: Alexandria, functional PBE-GGA.

Output
Symmetry   R3m (160)

abc: 8.152 8.152 8.152
angles: 20.57 20.57 20.57
Atoms (fractional coordinates):
Al: 0.000 0.000 0.000
Re: 0.248 0.248 0.248
Re: 0.491 0.491 0.491
P: 0.752 0.752 0.752



Fermi-level density of states
In order: 3.847, 3.305, 3.066, 2.400
Unit: states/eV/f.u.
Spin magnetization
In order: 0.000, 0.000, 0.000, 0.000
Unit: μB/f.u.
E_form
In order: 0.26, 0.03, 0.21, -0.10
Unit: eV per atom